1.
Material: Dy4SnPbN
Method: DFT, PBE
State: relaxed

Calculated values
E_tot, eV/cell: -81.7

Cell lengths 6.684, 6.681, 8.683 Å; angles 90.00, 112.64, 90.00 degrees
Fractional positions:
Dy1 0.907 0.250 0.813
Dy2 0.409 0.750 0.818
Dy3 0.093 0.750 0.187
Dy4 0.591 0.250 0.182
Dy5 0.500 0.500 0.500
Dy6 0.000 0.000 0.500
Dy7 0.500 0.000 0.500
Dy8 0.000 0.500 0.500
Sn1 0.608 0.750 0.216
Sn2 0.392 0.250 0.784
Pb1 0.105 0.250 0.210
Pb2 0.895 0.750 0.790
N1 0.249 0.750 0.499
N2 0.751 0.250 0.501

***

2.
Material: Dy2Th4Pb3N2
Method: DFT, PBE
State: relaxed

Calculated values
E_tot, eV/cell: -74.8

Cell lengths 4.820, 4.820, 13.548 Å; angles 100.25, 100.25, 90.00 degrees
Fractional positions:
Dy1 0.305 0.305 0.609
Dy2 0.695 0.695 0.391
Th1 0.414 0.914 0.828
Th2 0.914 0.414 0.828
Th3 0.086 0.586 0.172
Th4 0.586 0.086 0.172
Pb1 0.000 0.000 0.000
Pb2 0.182 0.182 0.364
Pb3 0.818 0.818 0.636
N1 0.394 0.394 0.787
N2 0.606 0.606 0.213

***

3.
Material: Dy2Tm2Pb2N
Method: DFT, PBE
State: relaxed

Calculated values
E_tot, eV/cell: -40.0

Cell lengths 4.684, 4.684, 8.680 Å; angles 105.65, 105.65, 90.00 degrees
Fractional positions:
Dy1 0.157 0.157 0.314
Dy2 0.843 0.843 0.686
Tm1 0.000 0.500 0.000
Tm2 0.500 0.000 0.000
Pb1 0.357 0.357 0.714
Pb2 0.643 0.643 0.286
N1 0.000 0.000 0.000

***

4.
Material: Dy4Pd2N
Method: DFT, PBE
State: relaxed

Calculated values
E_tot, eV/cell: -43.3

Cell lengths 4.679, 4.679, 7.927 Å; angles 107.17, 107.17, 90.00 degrees
Fractional positions:
N1 0.000 0.000 0.000
Pd1 0.632 0.632 0.264
Pd2 0.368 0.368 0.736
Dy1 0.824 0.824 0.647
Dy2 0.176 0.176 0.353
Dy3 0.000 0.500 0.000
Dy4 0.500 0.000 0.000